{
  "formula": "Mg2TaMn",
  "functional": "PBE",
  "state": "relaxed",
  "cell": [[5.400, 0.055, 0.000], [-2.663, 4.698, 0.000], [0.000, 0.000, 2.804]],
  "species": ["Ta", "Mg", "Mg", "Mn"],
  "fractional_positions": [[0.000, 0.500, 0.500], [0.500, 0.500, 0.000], [0.000, 0.000, 0.000], [0.500, 0.000, 0.500]],
  "ef_ev_per_fu": 1.5
}


{
  "formula": "Mg2TaMn",
  "functional": "PBE",
  "state": "relaxed",
  "cell": [[4.786, 0.000, 0.000], [0.000, 2.809, -0.072], [0.000, 1.390, 5.169]],
  "species": ["Mg", "Mg", "Mn", "Ta"],
  "fractional_positions": [[0.000, 0.063, 0.009], [0.000, 0.437, 0.491], [0.500, 0.250, 0.250], [0.500, 0.750, 0.750]],
  "ef_ev_per_fu": 1.4
}


{
  "formula": "MgTa3Mn",
  "functional": "PBE",
  "state": "relaxed",
  "cell": [[4.646, 0.000, 0.000], [0.000, 4.646, 0.000], [0.000, 0.000, 4.646]],
  "species": ["Mg", "Ta", "Ta", "Ta", "Mn"],
  "fractional_positions": [[0.000, 0.000, 0.000], [0.000, 0.000, 0.500], [0.000, 0.500, 0.000], [0.500, 0.000, 0.000], [0.500, 0.500, 0.500]],
  "ef_ev_per_fu": 11.7
}


{
  "formula": "MgTaMn2",
  "functional": "PBE",
  "state": "relaxed",
  "cell": [[2.765, 0.000, 0.000], [0.000, 4.250, 0.000], [0.000, 0.000, 5.396]],
  "species": ["Mg", "Mn", "Mn", "Ta"],
  "fractional_positions": [[0.500, 0.500, 0.773], [0.500, 0.500, 0.262], [0.000, 0.000, 0.000], [0.000, 0.000, 0.465]],
  "ef_ev_per_fu": 1.4
}


{
  "formula": "MgTaMn2",
  "functional": "PBE",
  "state": "relaxed",
  "cell": [[4.393, 0.000, 0.000], [2.197, 3.805, 0.000], [2.197, 1.268, 3.587]],
  "species": ["Mn", "Mn", "Ta", "Mg"],
  "fractional_positions": [[0.000, 0.000, 0.000], [0.750, 0.750, 0.750], [0.250, 0.250, 0.250], [0.500, 0.500, 0.500]],
  "ef_ev_per_fu": 1.6
}


{
  "formula": "Mg2TaMn",
  "functional": "PBE",
  "state": "relaxed",
  "cell": [[-2.653, 0.503, 1.662], [-1.230, -2.687, -1.151], [1.531, -6.312, 4.354]],
  "species": ["Mg", "Mg", "Ta", "Mn"],
  "fractional_positions": [[0.500, 0.215, 0.286], [0.000, 0.014, 0.985], [0.500, 0.807, 0.693], [0.000, 0.463, 0.537]],
  "ef_ev_per_fu": 0.5
}


{
  "formula": "Mg2TaMn",
  "functional": "PBE",
  "state": "relaxed",
  "cell": [[-4.134, 2.661, -2.442], [-3.208, -3.023, -3.272], [1.910, 0.838, 5.077]],
  "species": ["Mg", "Mg", "Mn", "Ta"],
  "fractional_positions": [[0.726, 0.226, 0.500], [0.003, 0.003, 0.000], [0.483, 0.483, 0.000], [0.288, 0.788, 0.500]],
  "ef_ev_per_fu": 1.3
}


{
  "formula": "MgTaMn2",
  "functional": "PBE",
  "state": "relaxed",
  "cell": [[-6.793, 1.195, -0.822], [-0.709, -6.172, -3.107], [-4.255, -3.665, 0.487]],
  "species": ["Mn", "Mn", "Mn", "Mn", "Mg", "Mg", "Ta", "Ta"],
  "fractional_positions": [[0.375, 0.363, 0.750], [0.875, 0.887, 0.750], [0.637, 0.125, 0.250], [0.113, 0.625, 0.250], [0.250, 0.750, 0.500], [0.500, 0.500, 0.000], [0.750, 0.250, 0.500], [0.000, 0.000, 0.000]],
  "ef_ev_per_fu": 2.8
}


Please write out number 2 again, unchanged.
{
  "formula": "Mg2TaMn",
  "functional": "PBE",
  "state": "relaxed",
  "cell": [[4.786, 0.000, 0.000], [0.000, 2.809, -0.072], [0.000, 1.390, 5.169]],
  "species": ["Mg", "Mg", "Mn", "Ta"],
  "fractional_positions": [[0.000, 0.063, 0.009], [0.000, 0.437, 0.491], [0.500, 0.250, 0.250], [0.500, 0.750, 0.750]],
  "ef_ev_per_fu": 1.4
}